PBE-GGA Cd2Rh2Pb, optimized geometry; polymorph energy (0 for the lowest one) = 0.170 eV per atom; energy of formation from the pure elements = 0.11 eV/atom; VASP energy = -3.940 eV per atom
1.0
7.9268 0.0000 0.0000
0.0000 7.9268 0.0000
0.0000 0.0000 3.1114
Cd Rh Pb
4 4 2
Direct
0.1293 0.3707 0.0000
0.3707 0.8707 0.0000
0.6293 0.1293 0.0000
0.8707 0.6293 0.0000
0.1665 0.6665 0.5000
0.3335 0.1665 0.5000
0.6665 0.8335 0.5000
0.8335 0.3335 0.5000
0.0000 0.0000 0.0000
0.5000 0.5000 0.0000



PBE-GGA Cd2RhPb, optimized geometry; energy of formation from the pure elements = -0.01 eV/atom; VASP energy = -3.229 eV per atom
1.0
4.9426 -1.8168 0.0000
4.9426 1.8168 0.0000
-3.5782 0.0000 4.9881
Cd Rh Pb
2 1 1
Direct
0.0000 0.0000 0.0000
0.2145 0.2145 0.7946
0.6930 0.6930 0.4371
0.3959 0.3959 0.4108



PBE-GGA CdRhPb2, optimized geometry; energy of formation from the pure elements = 0.03 eV/atom; VASP energy = -3.891 eV per atom
1.0
-1.6094 2.2881 6.6738
1.6094 -2.2881 6.6738
1.6094 2.2881 -6.6738
Cd Rh Pb
1 1 2
Direct
0.0000 0.0000 0.0000
0.1811 0.6811 0.5000
0.3721 0.3721 0.0000
0.6767 0.1767 0.5000



PBE-GGA Cd2Rh2Pb, optimized geometry; polymorph energy (0 for the lowest one) = 0.000 eV per atom; energy of formation from the pure elements = -0.06 eV/atom; VASP energy = -4.110 eV per atom
1.0
6.9534 0.0000 0.0000
0.0000 6.9534 0.0000
0.0000 0.0000 4.0854
Cd Rh Pb
4 4 2
Direct
0.1532 0.3468 0.0000
0.3468 0.8468 0.0000
0.6532 0.1532 0.0000
0.8468 0.6532 0.0000
0.1424 0.6424 0.5000
0.3576 0.1424 0.5000
0.6424 0.8576 0.5000
0.8576 0.3576 0.5000
0.0000 0.0000 0.5000
0.5000 0.5000 0.5000



PBE-GGA Cd4RhPb, optimized geometry; energy of formation from the pure elements = 0.18 eV/atom; VASP energy = -2.275 eV per atom
1.0
0.0000 4.0273 4.0273
4.0273 0.0000 4.0273
4.0273 4.0273 0.0000
Cd Rh Pb
4 1 1
Direct
0.3760 0.3760 0.3760
0.3760 0.3760 0.8721
0.3760 0.8721 0.3760
0.8721 0.3760 0.3760
0.7500 0.7500 0.7500
0.0000 0.0000 0.0000



PBE-GGA Cd2Rh2Pb, optimized geometry; polymorph energy (0 for the lowest one) = 0.360 eV per atom; energy of formation from the pure elements = 0.30 eV/atom; VASP energy = -3.750 eV per atom
1.0
-1.9981 1.9981 6.6639
1.9981 -1.9981 6.6639
1.9981 1.9981 -6.6639
Cd Rh Pb
2 2 1
Direct
0.1104 0.1104 0.0000
0.8896 0.8896 0.0000
0.2500 0.7500 0.5000
0.7500 0.2500 0.5000
0.5000 0.5000 0.0000



Question: Among the records above, which one has the lowest VASP energy?
Answer: number 4



Please write out number 6 again, unchanged.
PBE-GGA Cd2Rh2Pb, optimized geometry; polymorph energy (0 for the lowest one) = 0.360 eV per atom; energy of formation from the pure elements = 0.30 eV/atom; VASP energy = -3.750 eV per atom
1.0
-1.9981 1.9981 6.6639
1.9981 -1.9981 6.6639
1.9981 1.9981 -6.6639
Cd Rh Pb
2 2 1
Direct
0.1104 0.1104 0.0000
0.8896 0.8896 0.0000
0.2500 0.7500 0.5000
0.7500 0.2500 0.5000
0.5000 0.5000 0.0000